1.
# LaCdAg

LaCdAg after structural relaxation (GGA-PBE, Alexandria via LeMat-Bulk).

It has space group F-43m (No. 216), with a = 7.058 Å, b = 7.058 Å, c = 7.058 Å, α = 90.00°, β = 90.00° and γ = 90.00°. Symmetry generates all atoms from La at (0.000, 0.000, 0.000), Cd at (0.000, 0.000, 0.500) and Ag at (0.250, 0.250, 0.750).

The density of states at the Fermi level comes out at 16.6 states/eV/cell. The value obtained for the energy of formation is -0.185 eV per atom.

---

2.
# Y5TmN6

Y5TmN6 after structural relaxation (GGA-PBE, Alexandria via LeMat-Bulk).

It has space group C2/m (No. 12), with a = 6.003 Å, b = 10.398 Å, c = 6.003 Å, α = 90.00°, β = 109.47° and γ = 90.00°. Symmetry generates all atoms from Y at (0.000, 0.000, 0.000), Y at (0.000, 0.167, 0.500), Y at (0.000, 0.334, 0.000), Tm at (0.000, 0.500, 0.500), N at (0.247, 0.500, 0.252) and N at (0.248, 0.335, 0.748).

For the formation energy (no corrections), the calculation gives -20.57 eV/f.u. The density of states at the Fermi level comes out at 0.6 states/eV/cell.

---

3.
# PuPa4Pt

PuPa4Pt after structural relaxation (GGA-PBE, Alexandria via LeMat-Bulk).

It has space group C2/c (No. 15), with a = 9.448 Å, b = 13.620 Å, c = 6.682 Å, α = 90.00°, β = 134.98° and γ = 90.00°. Symmetry generates all atoms from Pu at (0.000, 0.125, 0.250), Pa at (0.209, 0.221, 0.231), Pa at (0.229, 0.029, 0.689) and Pt at (0.000, 0.375, 0.750).

The density of states at the Fermi level comes out at 33.7 states/eV/cell. The value obtained for the energy of formation is -0.196 eV per atom.

---

4.
# YTiCo3

YTiCo3 after structural relaxation (GGA-PBE, Alexandria via LeMat-Bulk).

It has space group Pm-3m (No. 221), with a = 4.352 Å, b = 4.352 Å, c = 4.352 Å, α = 90.00°, β = 90.00° and γ = 90.00°. Symmetry generates all atoms from Y at (0.000, 0.000, 0.000), Ti at (0.500, 0.500, 0.500) and Co at (0.000, 0.500, 0.500).

The density of states at the Fermi level comes out at 1.6 states/eV/cell. The value obtained for the energy of formation is 0.303 eV per atom. As for the energy above the most stable polymorph in this dataset: 0.000 eV per atom.

---

5.
# CeGdCoHg

CeGdCoHg after structural relaxation (GGA-PBE, Alexandria via LeMat-Bulk).

It has space group F-43m (No. 216), with a = 7.225 Å, b = 7.225 Å, c = 7.225 Å, α = 90.00°, β = 90.00° and γ = 90.00°. Symmetry generates all atoms from Ce at (0.000, 0.000, 0.000), Gd at (0.000, 0.000, 0.500), Co at (0.250, 0.250, 0.750) and Hg at (0.250, 0.250, 0.250).

The density of states at the Fermi level comes out at 27.0 states/eV/cell. The value obtained for the energy of formation is -0.107 eV per atom.